1.
A relaxed structure of Dy8Er6Sc. Source: Alexandria, functional PBE-GGA.

Computed properties:
- ΔE to the lowest computed polymorph: 24.1 meV per atom
- DFT formation energy: 148 meV per atom
- Spin magnetization: 0.0 Bohr magnetons per cell

The structure in CIF format:
```
data_Dy8Er6Sc
_cell_length_a 9.7389
_cell_length_b 9.7389
_cell_length_c 5.7016
_cell_angle_alpha 90.00
_cell_angle_beta 90.00
_cell_angle_gamma 120.00
_symmetry_space_group_name_H-M 'P -3'
_symmetry_Int_Tables_number 147
_symmetry_space_group_name_Hall '-P 3'
loop_
_atom_site_label
_atom_site_fract_x
_atom_site_fract_y
_atom_site_fract_z
_atom_site_occupancy
Dy1 0.0511 0.7798 0.2338 1
Dy2 0.3333 0.6667 0.2355 1
Er1 0.0918 0.6209 0.7425 1
Sc1 0.0000 0.0000 0.5000 1
```


2.
A relaxed structure of Pm2Sm2In3. Source: Alexandria, functional PBE-GGA.

Computed properties:
- ΔE to the lowest computed polymorph: 33.8 meV per atom
- DFT formation energy: -298 meV per atom
- Spin magnetization: 0.0 Bohr magnetons per cell

The structure in CIF format:
```
data_Pm2Sm2In3
_cell_length_a 4.061
_cell_length_b 6.530
_cell_length_c 9.050
_cell_angle_alpha 69.98
_cell_angle_beta 77.06
_cell_angle_gamma 71.89
_symmetry_space_group_name_H-M 'P -1'
_symmetry_Int_Tables_number 2
_symmetry_space_group_name_Hall '-P 1'
loop_
_atom_site_label
_atom_site_fract_x
_atom_site_fract_y
_atom_site_fract_z
_atom_site_occupancy
Pm1 0.117 0.216 0.048 1
Sm1 0.366 0.447 0.320 1
In1 0.000 0.000 0.500 1
In2 0.333 0.129 0.705 1
```